(1)
Compound: TaSeCl2
Source: Alexandria
Functional: PBE
Structure: relaxed

The structure in CIF format:
```
data_TaSeCl2
_cell_length_a 7.6039
_cell_length_b 7.6039
_cell_length_c 7.6039
_cell_angle_alpha 155.88
_cell_angle_beta 141.87
_cell_angle_gamma 45.63
_symmetry_space_group_name_H-M 'P 1'
_symmetry_Int_Tables_number 1
loop_
_symmetry_equiv_pos_as_xyz
'x,y,z'
loop_
_atom_site_label
_atom_site_fract_x
_atom_site_fract_y
_atom_site_fract_z
Cl1 0.1126 0.1126 0.0000
Cl2 0.7423 0.2423 0.5000
Se1 0.3915 0.3915 0.0000
Ta1 0.2536 0.7536 0.5000
```

uncorrected formation energy: -201 kJ/mol of formula units
uncorrected energy: -5.2787 eV/atom


(2)
Compound: TaSeCl2
Source: Alexandria
Functional: PBE
Structure: relaxed

The structure in CIF format:
```
data_TaSeCl2
_cell_length_a 3.1108
_cell_length_b 3.1108
_cell_length_c 8.8998
_cell_angle_alpha 90.00
_cell_angle_beta 90.00
_cell_angle_gamma 90.00
_symmetry_space_group_name_H-M 'P 1'
_symmetry_Int_Tables_number 1
loop_
_symmetry_equiv_pos_as_xyz
'x,y,z'
loop_
_atom_site_label
_atom_site_fract_x
_atom_site_fract_y
_atom_site_fract_z
Cl1 0.5000 0.5000 0.2546
Cl2 0.0000 0.0000 0.9263
Se1 0.0000 0.0000 0.5742
Ta1 0.5000 0.5000 0.7450
```

uncorrected formation energy: -153 kJ/mol of formula units
uncorrected energy: -5.1550 eV/atom


(3)
Compound: TaSe4Cl
Source: Alexandria
Functional: PBE
Structure: relaxed

The structure in CIF format:
```
data_TaSe4Cl
_cell_length_a 5.6048
_cell_length_b 5.6048
_cell_length_c 5.6048
_cell_angle_alpha 60.00
_cell_angle_beta 60.00
_cell_angle_gamma 60.00
_symmetry_space_group_name_H-M 'P 1'
_symmetry_Int_Tables_number 1
loop_
_symmetry_equiv_pos_as_xyz
'x,y,z'
loop_
_atom_site_label
_atom_site_fract_x
_atom_site_fract_y
_atom_site_fract_z
Se1 0.3757 0.3757 0.3757
Se2 0.3757 0.8729 0.3757
Se3 0.3757 0.3757 0.8729
Se4 0.8729 0.3757 0.3757
Cl1 0.0000 0.0000 0.0000
Ta1 0.7500 0.7500 0.7500
```

uncorrected formation energy: 441 kJ/mol of formula units
uncorrected energy: -3.8445 eV/atom


(4)
Compound: TaTc2SeCl
Source: Alexandria
Functional: PBE
Structure: relaxed

The structure in CIF format:
```
data_TaTc2SeCl
_cell_length_a 4.2167
_cell_length_b 5.3853
_cell_length_c 4.2167
_cell_angle_alpha 90.00
_cell_angle_beta 90.00
_cell_angle_gamma 90.00
_symmetry_space_group_name_H-M 'P 1'
_symmetry_Int_Tables_number 1
loop_
_symmetry_equiv_pos_as_xyz
'x,y,z'
loop_
_atom_site_label
_atom_site_fract_x
_atom_site_fract_y
_atom_site_fract_z
Tc1 0.5000 0.0000 0.0000
Tc2 0.0000 0.0000 0.5000
Cl1 0.0000 0.0000 0.0000
Ta1 0.5000 0.5000 0.5000
Se1 0.0000 0.5000 0.0000
```

uncorrected formation energy: 709 kJ/mol of formula units
uncorrected energy: -6.1125 eV/atom


(5)
Compound: TaTi2Se2Cl4
Source: Alexandria
Functional: PBE
Structure: relaxed

The structure in CIF format:
```
data_TaTi2Se2Cl4
_cell_length_a 3.3645
_cell_length_b 3.3645
_cell_length_c 21.4026
_cell_angle_alpha 90.00
_cell_angle_beta 90.00
_cell_angle_gamma 120.00
_symmetry_space_group_name_H-M 'P 1'
_symmetry_Int_Tables_number 1
loop_
_symmetry_equiv_pos_as_xyz
'x,y,z'
loop_
_atom_site_label
_atom_site_fract_x
_atom_site_fract_y
_atom_site_fract_z
Cl1 0.6667 0.3333 0.0503
Cl2 0.6667 0.3333 0.9047
Cl3 0.0000 0.0000 0.7289
Cl4 0.0000 0.0000 0.5834
Se1 0.6667 0.3333 0.2453
Se2 0.6667 0.3333 0.4055
Ta1 0.0000 0.0000 0.3254
Ti1 0.0000 0.0000 0.9777
Ti2 0.6667 0.3333 0.6560
```

uncorrected formation energy: -1096 kJ/mol of formula units
uncorrected energy: -5.9292 eV/atom


(6)
Compound: Ta2TiSe4Cl2
Source: Alexandria
Functional: PBE
Structure: relaxed

The structure in CIF format:
```
data_Ta2TiSe4Cl2
_cell_length_a 3.4290
_cell_length_b 3.4290
_cell_length_c 21.5059
_cell_angle_alpha 90.00
_cell_angle_beta 90.00
_cell_angle_gamma 120.00
_symmetry_space_group_name_H-M 'P 1'
_symmetry_Int_Tables_number 1
loop_
_symmetry_equiv_pos_as_xyz
'x,y,z'
loop_
_atom_site_label
_atom_site_fract_x
_atom_site_fract_y
_atom_site_fract_z
Cl1 0.6667 0.3333 0.2546
Cl2 0.6667 0.3333 0.3976
Se1 0.6667 0.3333 0.0598
Se2 0.0000 0.0000 0.7304
Se3 0.0000 0.0000 0.5731
Se4 0.6667 0.3333 0.9025
Ta1 0.6667 0.3333 0.6519
Ta2 0.0000 0.0000 0.9810
Ti1 0.0000 0.0000 0.3261
```

uncorrected formation energy: -899 kJ/mol of formula units
uncorrected energy: -6.5055 eV/atom


(7)
Compound: TaTl5Se4Cl2
Source: Alexandria
Functional: PBE
Structure: relaxed

The structure in CIF format:
```
data_TaTl5Se4Cl2
_cell_length_a 8.2127
_cell_length_b 6.7133
_cell_length_c 10.0057
_cell_angle_alpha 90.00
_cell_angle_beta 90.00
_cell_angle_gamma 127.71
_symmetry_space_group_name_H-M 'P 1'
_symmetry_Int_Tables_number 1
loop_
_symmetry_equiv_pos_as_xyz
'x,y,z'
loop_
_atom_site_label
_atom_site_fract_x
_atom_site_fract_y
_atom_site_fract_z
Cl1 0.4160 0.4571 0.5000
Cl2 0.9589 0.5429 0.5000
Tl1 0.7151 0.5791 0.7528
Tl2 0.7151 0.5791 0.2472
Tl3 0.1359 0.4209 0.7528
Tl4 0.1359 0.4209 0.2472
Tl5 0.4191 0.0000 0.5000
Se1 0.5506 0.0000 0.1975
Se2 0.5506 0.0000 0.8025
Se3 0.4014 0.3746 0.0000
Se4 0.0268 0.6254 0.0000
Ta1 0.3802 0.0000 0.0000
```

uncorrected formation energy: -822 kJ/mol of formula units
uncorrected energy: -4.1532 eV/atom


(8)
Compound: TaTlSe2Cl
Source: Alexandria
Functional: PBE
Structure: relaxed

The structure in CIF format:
```
data_TaTlSe2Cl
_cell_length_a 4.8981
_cell_length_b 6.0264
_cell_length_c 4.8981
_cell_angle_alpha 90.00
_cell_angle_beta 90.00
_cell_angle_gamma 90.00
_symmetry_space_group_name_H-M 'P 1'
_symmetry_Int_Tables_number 1
loop_
_symmetry_equiv_pos_as_xyz
'x,y,z'
loop_
_atom_site_label
_atom_site_fract_x
_atom_site_fract_y
_atom_site_fract_z
Se1 0.0000 0.0000 0.5000
Se2 0.5000 0.0000 0.0000
Cl1 0.5000 0.5000 0.5000
Tl1 0.0000 0.5000 0.0000
Ta1 0.0000 0.0000 0.0000
```

uncorrected formation energy: -129 kJ/mol of formula units
uncorrected energy: -4.8749 eV/atom


(9)
Compound: Zr2TaSe2Cl4
Source: Alexandria
Functional: PBE
Structure: relaxed

The structure in CIF format:
```
data_Zr2TaSe2Cl4
_cell_length_a 3.4433
_cell_length_b 3.4433
_cell_length_c 21.9540
_cell_angle_alpha 90.00
_cell_angle_beta 90.00
_cell_angle_gamma 120.00
_symmetry_space_group_name_H-M 'P 1'
_symmetry_Int_Tables_number 1
loop_
_symmetry_equiv_pos_as_xyz
'x,y,z'
loop_
_atom_site_label
_atom_site_fract_x
_atom_site_fract_y
_atom_site_fract_z
Cl1 0.6667 0.3333 0.0584
Cl2 0.0000 0.0000 0.7308
Cl3 0.0000 0.0000 0.5751
Cl4 0.6667 0.3333 0.9027
Ta1 0.0000 0.0000 0.3256
Se1 0.6667 0.3333 0.2488
Se2 0.6667 0.3333 0.4023
Zr1 0.6667 0.3333 0.6528
Zr2 0.0000 0.0000 0.9807
```

uncorrected formation energy: -1193 kJ/mol of formula units
uncorrected energy: -6.1853 eV/atom


(10)
Compound: TbSeCl
Source: Alexandria
Functional: PBE
Structure: relaxed

The structure in CIF format:
```
data_TbSeCl
_cell_length_a 3.9459
_cell_length_b 3.9459
_cell_length_c 11.5446
_cell_angle_alpha 99.84
_cell_angle_beta 99.84
_cell_angle_gamma 90.00
_symmetry_space_group_name_H-M 'P 1'
_symmetry_Int_Tables_number 1
loop_
_symmetry_equiv_pos_as_xyz
'x,y,z'
loop_
_atom_site_label
_atom_site_fract_x
_atom_site_fract_y
_atom_site_fract_z
Se1 0.0467 0.5467 0.0934
Se2 0.4533 0.9533 0.9066
Tb1 0.5883 0.0883 0.1766
Tb2 0.9117 0.4117 0.8234
Cl1 0.3273 0.3273 0.6547
Cl2 0.6727 0.6727 0.3453
```

uncorrected formation energy: -575 kJ/mol of formula units
uncorrected energy: -5.3054 eV/atom


(11)
Compound: TbSeCl
Source: Alexandria
Functional: PBE
Structure: relaxed

The structure in CIF format:
```
data_TbSeCl
_cell_length_a 4.1101
_cell_length_b 4.1101
_cell_length_c 6.7069
_cell_angle_alpha 90.00
_cell_angle_beta 90.00
_cell_angle_gamma 120.00
_symmetry_space_group_name_H-M 'P 1'
_symmetry_Int_Tables_number 1
loop_
_symmetry_equiv_pos_as_xyz
'x,y,z'
loop_
_atom_site_label
_atom_site_fract_x
_atom_site_fract_y
_atom_site_fract_z
Tb1 0.6667 0.3333 0.3270
Se1 0.0000 0.0000 0.1107
Cl1 0.3333 0.6667 0.5622
```

uncorrected formation energy: -575 kJ/mol of formula units
uncorrected energy: -5.3074 eV/atom


(12)
Compound: Tb2SeCl
Source: Alexandria
Functional: PBE
Structure: relaxed

The structure in CIF format:
```
data_Tb2SeCl
_cell_length_a 3.7708
_cell_length_b 3.7708
_cell_length_c 8.0857
_cell_angle_alpha 76.52
_cell_angle_beta 76.52
_cell_angle_gamma 60.00
_symmetry_space_group_name_H-M 'P 1'
_symmetry_Int_Tables_number 1
loop_
_symmetry_equiv_pos_as_xyz
'x,y,z'
loop_
_atom_site_label
_atom_site_fract_x
_atom_site_fract_y
_atom_site_fract_z
Tb1 0.0778 0.0778 0.7665
Tb2 0.2558 0.2558 0.2327
Se1 0.6658 0.6658 0.0026
Cl1 0.5006 0.5006 0.4983
```

uncorrected formation energy: -551 kJ/mol of formula units
uncorrected energy: -5.0758 eV/atom